Entry from Alexandria: a geometry-optimized MgInP2 structure (PBE).

* SG: Immm, No. 71
* formation enthalpy at 0 K: 0.32 eV/f.u.
* DOS at the Fermi energy: 1.68 states/eV/cell
* density: 4.061 g/cm3

abc: 4.7543 4.7543 4.7543
angles: 114.58 107.65 106.31
Closest atoms and distances in Å follow each position.
Fractional positions:
In (0.2500, 0.7500, 0.5000)  2 Mg 2.85, 8 P 3.02-3.11
Mg (0.7500, 0.2500, 0.5000)  4 P 2.80, 2 In 2.85
P (0.9441, 0.9441, 0.0000)  1 P 2.21
P (0.5559, 0.5559, 0.0000)  1 P 2.21